Entry 1:
This record from OQMD via LeMat-Bulk describes a relaxed PrGdFe2Si2 crystal. The functional is PBE-GGA.

It has space group P4mm (No. 99), with a = 4.048 Å, b = 4.048 Å, c = 6.772 Å, α = 90.00°, β = 90.00° and γ = 90.00°. The distinct sites, in fractional coordinates, are Pr at (0.000, 0.000, 0.000), Gd at (0.500, 0.500, 0.364), Fe at (0.000, 0.500, 0.668), Si at (0.000, 0.000, 0.501) and Si at (0.500, 0.500, 0.837).



Entry 2:
This record from OQMD via LeMat-Bulk describes a relaxed NbInFeNi crystal. The functional is PBE-GGA.

It has space group F-43m (No. 216), with a = 6.299 Å, b = 6.299 Å, c = 6.299 Å, α = 90.00°, β = 90.00° and γ = 90.00°. The distinct sites, in fractional coordinates, are Nb at (0.000, 0.000, 0.000), In at (0.250, 0.250, 0.250), Fe at (0.000, 0.000, 0.500) and Ni at (0.250, 0.250, 0.750).



Listing calculated total energy for the structures above in their given order: -40.432 -102.665 eV/cell.
Listing magnetic moment for the structures above in their given order: 0.03 8.90 μB per cell.